An optimized crystal structure of Zr2BP. Source: the Alexandria database, functional PBE.

Cell lengths 4.4751, 4.4751, 4.4751 Å; angles 60.00, 60.00, 60.00 degrees
Fractional coordinates of all 4 atoms:
Zr 0.2500 0.2500 0.2500
Zr 0.7500 0.7500 0.7500
B 0.0000 0.0000 0.0000
P 0.5000 0.5000 0.5000

SG ... Fm-3m (225)
Offset from the most stable computed form ... 747 meV/atom


An optimized crystal structure of MnCoNi2. Source: the Alexandria database, functional PBE.

Cell lengths 2.5521, 3.5540, 5.0512 Å; angles 90.00, 90.09, 90.00 degrees
Fractional coordinates of all 4 atoms:
Mn 0.0000 0.0000 0.0000
Co 0.0000 0.0000 0.5000
Ni 0.4997 0.5000 0.2579
Ni 0.5003 0.5000 0.7421

SG ... P2/m (10)


Table of total energy (eV per atom), in record order: -7.538 -6.959